# SmVF5 (PBE with a Hubbard U, relaxed)
# * DFT total energy: -6.54 eV per atom
data_SmVF5
_chemical_formula_sum 'Sm4 V4 F20'
_space_group_name_H-M_alt 'C 1 2/c 1'
_space_group_IT_number 15
_space_group_name_Hall '-C 2yc'
_cell_length_a 9.3964
_cell_length_b 6.8550
_cell_length_c 7.8518
_cell_angle_alpha 90.00
_cell_angle_beta 114.58
_cell_angle_gamma 90.00
loop_
_atom_site_label
_atom_site_fract_x
_atom_site_fract_y
_atom_site_fract_z
_atom_site_occupancy
Sm1 0.0000 0.0513 0.2500 1
V1 0.0000 0.5000 0.0000 1
F1 0.0000 0.3894 0.2500 1
F2 0.0065 0.1873 0.9658 1
F3 0.2429 0.4791 0.6247 1